The following is a DFT calculation (PBE) of a geometry-optimized VRu3W structure.

```
data_VRu3W
_chemical_formula_sum 'V1 Ru3 W1'
_space_group_name_H-M_alt 'P m -3 m'
_space_group_IT_number 221
_space_group_name_Hall '-P 4 2 3'
_cell_length_a 4.3825
_cell_length_b 4.3825
_cell_length_c 4.3825
_cell_angle_alpha 90.00
_cell_angle_beta 90.00
_cell_angle_gamma 90.00
loop_
_atom_site_label
_atom_site_type_symbol
_atom_site_fract_x
_atom_site_fract_y
_atom_site_fract_z
V1 V 0.0000 0.0000 0.0000
Ru1 Ru 0.0000 0.0000 0.5000
W1 W 0.5000 0.5000 0.5000
```

=====

The following is a DFT calculation (PBE) of a geometry-optimized Sm4Dy8Er structure.

```
data_Sm4Dy8Er
_chemical_formula_sum 'Sm4 Dy8 Er1'
_space_group_name_H-M_alt 'P m -3 m'
_space_group_IT_number 221
_space_group_name_Hall '-P 4 2 3'
_cell_length_a 7.7678
_cell_length_b 7.7678
_cell_length_c 7.7678
_cell_angle_alpha 90.00
_cell_angle_beta 90.00
_cell_angle_gamma 90.00
loop_
_atom_site_label
_atom_site_type_symbol
_atom_site_fract_x
_atom_site_fract_y
_atom_site_fract_z
Sm1 Sm 0.0000 0.0000 0.0000
Sm2 Sm 0.0000 0.5000 0.5000
Dy1 Dy 0.2402 0.2402 0.2402
Er1 Er 0.5000 0.5000 0.5000
```

=====

no.,DFT total energy (eV/atom)
1,-8.64
2,-4.13